Density functional theory data (PBE) for CeDyY2Se4 after structural relaxation. Values from VASP.

Structure (Quantum ESPRESSO input):
```
&SYSTEM
  ibrav = 0, nat = 8, ntyp = 4
/
ATOMIC_SPECIES
Ce 140.12 Ce.upf
Dy 162.50 Dy.upf
Y 88.91 Y.upf
Se 78.96 Se.upf
CELL_PARAMETERS angstrom
7.140 0.000 0.000
0.000 4.084 0.000
-2.337 0.000 6.750
ATOMIC_POSITIONS angstrom
Ce 0.000 0.000 0.000
Dy -1.168 2.042 3.375
Y 2.402 0.000 3.375
Y 3.570 2.042 0.000
Se 0.060 0.000 5.036
Se 1.231 2.042 1.737
Se 3.573 2.042 5.014
Se 4.744 0.000 1.715
```

Output
Electronic total energy = -6.4544 eV/atom
Volume = 196.8 Å³ per cell



Density functional theory data (PBE) for Ce2DyYSe6 after structural relaxation. Values from VASP.

Structure (Quantum ESPRESSO input):
```
&SYSTEM
  ibrav = 0, nat = 10, ntyp = 4
/
ATOMIC_SPECIES
Ce 140.12 Ce.upf
Dy 162.50 Dy.upf
Y 88.91 Y.upf
Se 78.96 Se.upf
CELL_PARAMETERS angstrom
3.688 2.129 6.514
-3.688 2.129 6.514
0.000 -4.258 6.514
ATOMIC_POSITIONS angstrom
Ce 0.000 0.000 0.000
Ce 0.000 0.000 9.768
Dy 0.000 0.000 5.847
Y 0.000 0.000 15.620
Se -2.208 -0.126 7.728
Se -1.477 -2.257 10.987
Se 1.213 -1.849 7.728
Se -1.216 2.408 10.987
Se 0.994 1.975 7.728
Se 2.693 -0.150 10.987
```

Output
Electronic total energy = -6.1850 eV/atom
Volume = 306.9 Å³ per cell



Density functional theory data (PBE) for CeDy2YSe6 after structural relaxation. Values from VASP.

Structure (Quantum ESPRESSO input):
```
&SYSTEM
  ibrav = 0, nat = 10, ntyp = 4
/
ATOMIC_SPECIES
Ce 140.12 Ce.upf
Dy 162.50 Dy.upf
Y 88.91 Y.upf
Se 78.96 Se.upf
CELL_PARAMETERS angstrom
3.646 2.105 6.513
-3.646 2.105 6.513
0.000 -4.210 6.513
ATOMIC_POSITIONS angstrom
Ce 0.000 0.000 0.000
Dy 0.000 0.000 5.824
Dy 0.000 0.000 15.651
Y 0.000 0.000 9.684
Se -2.172 -0.120 7.749
Se -1.408 -2.124 10.997
Se 1.190 -1.820 7.749
Se -1.136 2.282 10.997
Se 0.982 1.941 7.749
Se 2.544 -0.157 10.997
```

Output
Electronic total energy = -6.0759 eV/atom
Volume = 299.9 Å³ per cell



Density functional theory data (PBE) for Ce3Dy2YSe6 after structural relaxation. Values from VASP.

Structure (Quantum ESPRESSO input):
```
&SYSTEM
  ibrav = 0, nat = 12, ntyp = 4
/
ATOMIC_SPECIES
Ce 140.12 Ce.upf
Dy 162.50 Dy.upf
Y 88.91 Y.upf
Se 78.96 Se.upf
CELL_PARAMETERS angstrom
3.560 -6.173 0.000
3.560 6.173 0.000
-2.378 0.000 6.857
ATOMIC_POSITIONS angstrom
Ce 0.000 0.000 0.000
Ce 3.560 2.054 0.000
Ce 3.560 -2.054 0.000
Dy 2.371 4.115 3.428
Dy 2.371 -4.115 3.428
Y 2.371 0.000 3.428
Se 1.184 2.061 1.794
Se -0.007 0.000 5.061
Se 1.184 -2.061 1.794
Se 3.559 2.061 5.063
Se 4.750 0.000 1.796
Se 3.559 -2.061 5.063
```

Output
Electronic total energy = -6.3325 eV/atom
Volume = 301.4 Å³ per cell



Density functional theory data (PBE) for Ce2DyYSe5 after structural relaxation. Values from VASP.

Structure (Quantum ESPRESSO input):
```
&SYSTEM
  ibrav = 0, nat = 9, ntyp = 4
/
ATOMIC_SPECIES
Ce 140.12 Ce.upf
Dy 162.50 Dy.upf
Y 88.91 Y.upf
Se 78.96 Se.upf
CELL_PARAMETERS angstrom
5.151 0.000 0.000
0.000 5.151 0.000
0.000 0.000 10.758
ATOMIC_POSITIONS angstrom
Ce 0.000 0.000 2.111
Ce 0.000 0.000 8.647
Dy 2.576 2.576 0.000
Y 2.576 2.576 5.379
Se 0.000 0.000 5.379
Se 0.000 2.576 0.000
Se 2.576 0.000 0.000
Se 2.576 2.576 2.751
Se 2.576 2.576 8.007
```

Output
Electronic total energy = -5.7816 eV/atom
Volume = 285.5 Å³ per cell



Density functional theory data (PBE) for Ce2DyYSe4 after structural relaxation. Values from VASP.

Structure (Quantum ESPRESSO input):
```
&SYSTEM
  ibrav = 0, nat = 8, ntyp = 4
/
ATOMIC_SPECIES
Ce 140.12 Ce.upf
Dy 162.50 Dy.upf
Y 88.91 Y.upf
Se 78.96 Se.upf
CELL_PARAMETERS angstrom
7.131 0.000 0.000
0.000 4.104 0.000
-2.364 0.000 6.873
ATOMIC_POSITIONS angstrom
Ce 0.000 0.000 0.000
Ce 3.565 2.052 0.000
Dy -1.182 2.052 3.436
Y 2.384 0.000 3.436
Se 0.006 0.000 5.073
Se 1.189 2.052 1.797
Se 3.578 2.052 5.076
Se 4.761 0.000 1.799
```

Output
Electronic total energy = -6.4106 eV/atom
Volume = 201.1 Å³ per cell



Number 1: raw formation energy -14.2 eV/f.u.. Number 2: raw formation energy -18.0 eV/f.u.. Number 3: raw formation energy -18.2 eV/f.u.. Number 4: raw formation energy -21.6 eV/f.u.. Number 5: raw formation energy -11.7 eV/f.u.. Number 6: raw formation energy -14.4 eV/f.u..